! GGA+U NiH14C3NCl3O2, relaxed; values from VASP
&SYSTEM
  ibrav = 0, nat = 96, ntyp = 6
/
ATOMIC_SPECIES
Ni 58.69 Ni.upf
H 1.01 H.upf
C 12.01 C.upf
N 14.01 N.upf
Cl 35.45 Cl.upf
O 16.00 O.upf
CELL_PARAMETERS angstrom
-2.356 -6.059 3.216
5.486 1.000 5.904
-11.222 9.082 8.888
ATOMIC_POSITIONS crystal
Ni 0.500 0.000 0.000
Ni 0.000 0.000 0.000
Ni 0.500 0.500 0.500
Ni 0.000 0.500 0.500
H 0.427 0.686 0.960
H 0.126 0.522 0.135
H 0.374 0.522 0.135
H 0.250 0.250 0.126
H 0.097 0.184 0.482
H 0.874 0.478 0.865
H 0.417 0.304 0.283
H 0.626 0.022 0.365
H 0.083 0.117 0.225
H 0.583 0.696 0.717
H 0.540 0.206 0.690
H 0.626 0.478 0.865
H 0.960 0.206 0.690
H 0.917 0.617 0.275
H 0.126 0.978 0.635
H 0.903 0.816 0.518
H 0.927 0.186 0.540
H 0.040 0.706 0.810
H 0.097 0.316 0.982
H 0.750 0.452 0.774
H 0.417 0.196 0.783
H 0.917 0.696 0.717
H 0.573 0.314 0.040
H 0.250 0.548 0.226
H 0.750 0.750 0.374
H 0.250 0.952 0.726
H 0.583 0.804 0.217
H 0.874 0.022 0.365
H 0.427 0.814 0.460
H 0.083 0.196 0.783
H 0.750 0.750 0.874
H 0.583 0.617 0.275
H 0.073 0.686 0.960
H 0.750 0.048 0.274
H 0.040 0.794 0.310
H 0.403 0.184 0.482
H 0.417 0.117 0.225
H 0.917 0.804 0.217
H 0.597 0.684 0.018
H 0.083 0.383 0.725
H 0.917 0.883 0.775
H 0.250 0.250 0.626
H 0.460 0.794 0.310
H 0.903 0.684 0.018
H 0.417 0.383 0.725
H 0.927 0.314 0.040
H 0.460 0.706 0.810
H 0.083 0.304 0.283
H 0.960 0.294 0.190
H 0.403 0.316 0.982
H 0.374 0.978 0.635
H 0.573 0.186 0.540
H 0.540 0.294 0.190
H 0.583 0.883 0.775
H 0.073 0.814 0.460
H 0.597 0.816 0.518
C 0.080 0.251 0.223
C 0.580 0.751 0.277
C 0.250 0.012 0.668
C 0.420 0.249 0.723
C 0.920 0.749 0.777
C 0.580 0.749 0.777
C 0.750 0.988 0.332
C 0.750 0.512 0.832
C 0.420 0.251 0.223
C 0.250 0.488 0.168
C 0.920 0.751 0.277
C 0.080 0.249 0.723
N 0.250 0.307 0.181
N 0.250 0.193 0.681
N 0.750 0.693 0.819
N 0.750 0.807 0.319
Cl 0.750 0.503 0.086
Cl 0.750 0.510 0.597
Cl 0.250 0.567 0.595
Cl 0.250 0.933 0.095
Cl 0.750 0.433 0.405
Cl 0.250 0.490 0.403
Cl 0.250 0.010 0.903
Cl 0.750 0.067 0.905
Cl 0.250 0.003 0.414
Cl 0.750 0.997 0.586
Cl 0.750 0.990 0.097
Cl 0.250 0.497 0.914
O 0.462 0.250 0.025
O 0.462 0.250 0.525
O 0.538 0.750 0.475
O 0.038 0.250 0.525
O 0.962 0.750 0.975
O 0.038 0.250 0.025
O 0.538 0.750 0.975
O 0.962 0.750 0.475
! Calculated volume = 998.56 Å³/cell
! Symmetry = No. 62
! E_tot = -4.77 eV per atom
! Calculated density = 1.74 g/cm³
! DOS(E_F) = 0.000 states/eV/atom